# PBE-GGA Tb3Pr2NdTm6, optimized geometry
# **Symmetry**: No. 12
# **Formation enthalpy at 0 K**: 22 meV/atom
data_Tb3Pr2NdTm6
_space_group_name_H-M_alt 'P 1'
_space_group_IT_number 1
_cell_length_a 6.1784
_cell_length_b 6.1784
_cell_length_c 11.7011
_cell_angle_alpha 95.03
_cell_angle_beta 95.03
_cell_angle_gamma 119.97
loop_
_space_group_symop_operation_xyz
'x,y,z'
loop_
_atom_site_label
_atom_site_type_symbol
_atom_site_fract_x
_atom_site_fract_y
_atom_site_fract_z
Tb1 Tb 0.1667 0.8333 0.5000
Tb2 Tb 0.8333 0.1667 0.5000
Tb3 Tb 0.5000 0.5000 0.5000
Pr1 Pr 0.3334 0.6666 0.0000
Pr2 Pr 0.6666 0.3334 0.0000
Nd1 Nd 0.0000 0.0000 0.0000
Tm1 Tm 0.9149 0.5817 0.7465
Tm2 Tm 0.7519 0.7519 0.2535
Tm3 Tm 0.0851 0.4183 0.2535
Tm4 Tm 0.5817 0.9149 0.7465
Tm5 Tm 0.2481 0.2481 0.7465
Tm6 Tm 0.4183 0.0851 0.2535

---

# PBE-GGA Tb5PrNdTm2, optimized geometry
# **Symmetry**: No. 36
# **Formation enthalpy at 0 K**: 159 meV/atom
data_Tb5PrNdTm2
_space_group_name_H-M_alt 'P 1'
_space_group_IT_number 1
_cell_length_a 5.6238
_cell_length_b 10.3365
_cell_length_c 10.6624
_cell_angle_alpha 90.00
_cell_angle_beta 90.00
_cell_angle_gamma 105.79
loop_
_space_group_symop_operation_xyz
'x,y,z'
loop_
_atom_site_label
_atom_site_type_symbol
_atom_site_fract_x
_atom_site_fract_y
_atom_site_fract_z
Tb1 Tb 0.3923 0.7847 0.0252
Tb2 Tb 0.7178 0.4357 0.8086
Tb3 Tb 0.4773 0.9546 0.7369
Tb4 Tb 0.2982 0.5964 0.7077
Tb5 Tb 0.9828 0.9656 0.5270
Tb6 Tb 0.6077 0.2153 0.5252
Tb7 Tb 0.2822 0.5643 0.3086
Tb8 Tb 0.5227 0.0454 0.2369
Tb9 Tb 0.7018 0.4036 0.2077
Tb10 Tb 0.0172 0.0344 0.0270
Pr1 Pr 0.7976 0.5952 0.5114
Pr2 Pr 0.2024 0.4048 0.0114
Nd1 Nd 0.5831 0.1662 0.9498
Nd2 Nd 0.4169 0.8338 0.4498
Tm1 Tm 0.8856 0.7712 0.8213
Tm2 Tm 0.1096 0.2192 0.7361
Tm3 Tm 0.1144 0.2288 0.3213
Tm4 Tm 0.8904 0.7808 0.2361

---

# PBE-GGA Tb2PrNdY6, optimized geometry
# **Symmetry**: No. 15
# **Formation enthalpy at 0 K**: 119 meV/atom
data_Tb2PrNdY6
_space_group_name_H-M_alt 'P 1'
_space_group_IT_number 1
_cell_length_a 9.6967
_cell_length_b 8.8459
_cell_length_c 8.8459
_cell_angle_alpha 117.29
_cell_angle_beta 94.14
_cell_angle_gamma 94.14
loop_
_space_group_symop_operation_xyz
'x,y,z'
loop_
_atom_site_label
_atom_site_type_symbol
_atom_site_fract_x
_atom_site_fract_y
_atom_site_fract_z
Tb1 Tb 0.4524 0.8059 0.7044
Tb2 Tb 0.0476 0.2956 0.1941
Tb3 Tb 0.5476 0.1941 0.2956
Tb4 Tb 0.9524 0.7044 0.8059
Pr1 Pr 0.2500 0.9742 0.0258
Pr2 Pr 0.7500 0.0258 0.9742
Nd1 Nd 0.2500 0.4080 0.5920
Nd2 Nd 0.7500 0.5920 0.4080
Y1 Y 0.0572 0.1184 0.7493
Y2 Y 0.4428 0.2507 0.8816
Y3 Y 0.9428 0.8816 0.2507
Y4 Y 0.5572 0.7493 0.1184
Y5 Y 0.3189 0.9797 0.4320
Y6 Y 0.1811 0.5680 0.0203
Y7 Y 0.6811 0.0203 0.5680
Y8 Y 0.8189 0.4320 0.9797
Y9 Y 0.1168 0.7048 0.4888
Y10 Y 0.3832 0.5112 0.2952
Y11 Y 0.8832 0.2952 0.5112
Y12 Y 0.6168 0.4888 0.7048

---

# PBE-GGA TbPrNdY, optimized geometry
# **Symmetry**: No. 216
# **Formation enthalpy at 0 K**: 109 meV/atom
# **E above lowest polymorph**: 92 meV/atom
data_TbPrNdY
_space_group_name_H-M_alt 'P 1'
_space_group_IT_number 1
_cell_length_a 5.7768
_cell_length_b 5.7768
_cell_length_c 5.7768
_cell_angle_alpha 60.00
_cell_angle_beta 60.00
_cell_angle_gamma 60.00
loop_
_space_group_symop_operation_xyz
'x,y,z'
loop_
_atom_site_label
_atom_site_type_symbol
_atom_site_fract_x
_atom_site_fract_y
_atom_site_fract_z
Pr1 Pr 0.5000 0.5000 0.5000
Nd1 Nd 0.0000 0.0000 0.0000
Tb1 Tb 0.2500 0.2500 0.2500
Y1 Y 0.7500 0.7500 0.7500

---

# PBE-GGA TbPr5NdY2, optimized geometry
# **Symmetry**: No. 140
# **Formation enthalpy at 0 K**: 294 meV/atom
data_TbPr5NdY2
_space_group_name_H-M_alt 'P 1'
_space_group_IT_number 1
_cell_length_a 9.5195
_cell_length_b 9.5195
_cell_length_c 9.7976
_cell_angle_alpha 119.07
_cell_angle_beta 119.07
_cell_angle_gamma 90.00
loop_
_space_group_symop_operation_xyz
'x,y,z'
loop_
_atom_site_label
_atom_site_type_symbol
_atom_site_fract_x
_atom_site_fract_y
_atom_site_fract_z
Tb1 Tb 0.2500 0.7500 0.5000
Tb2 Tb 0.7500 0.2500 0.5000
Pr1 Pr 0.9308 0.4308 0.2664
Pr2 Pr 0.6644 0.1644 0.7336
Pr3 Pr 0.0692 0.5692 0.7336
Pr4 Pr 0.1644 0.0692 0.7336
Pr5 Pr 0.5692 0.6644 0.7336
Pr6 Pr 0.8356 0.9308 0.2664
Pr7 Pr 0.4308 0.3356 0.2664
Pr8 Pr 0.3356 0.8356 0.2664
Pr9 Pr 0.5000 0.5000 0.0000
Pr10 Pr 0.0000 0.0000 0.0000
Nd1 Nd 0.2500 0.2500 0.5000
Nd2 Nd 0.7500 0.7500 0.5000
Y1 Y 0.1083 0.3917 0.0000
Y2 Y 0.6083 0.1083 0.0000
Y3 Y 0.3917 0.8917 0.0000
Y4 Y 0.8917 0.6083 0.0000

---

# PBE-GGA Tb6Pr2NdY, optimized geometry
# **Symmetry**: No. 15
# **Formation enthalpy at 0 K**: 113 meV/atom
data_Tb6Pr2NdY
_space_group_name_H-M_alt 'P 1'
_space_group_IT_number 1
_cell_length_a 9.8191
_cell_length_b 8.8630
_cell_length_c 8.8630
_cell_angle_alpha 118.23
_cell_angle_beta 94.55
_cell_angle_gamma 94.55
loop_
_space_group_symop_operation_xyz
'x,y,z'
loop_
_atom_site_label
_atom_site_type_symbol
_atom_site_fract_x
_atom_site_fract_y
_atom_site_fract_z
Tb1 Tb 0.0569 0.1225 0.7412
Tb2 Tb 0.4431 0.2588 0.8775
Tb3 Tb 0.9431 0.8775 0.2588
Tb4 Tb 0.5569 0.7412 0.1225
Tb5 Tb 0.3137 0.9785 0.4266
Tb6 Tb 0.1863 0.5734 0.0215
Tb7 Tb 0.6863 0.0215 0.5734
Tb8 Tb 0.8137 0.4266 0.9785
Tb9 Tb 0.1198 0.7056 0.4931
Tb10 Tb 0.3802 0.5069 0.2944
Tb11 Tb 0.8802 0.2944 0.5069
Tb12 Tb 0.6198 0.4931 0.7056
Pr1 Pr 0.4580 0.8057 0.7034
Pr2 Pr 0.0420 0.2966 0.1943
Pr3 Pr 0.5420 0.1943 0.2966
Pr4 Pr 0.9580 0.7034 0.8057
Nd1 Nd 0.2500 0.9824 0.0176
Nd2 Nd 0.7500 0.0176 0.9824
Y1 Y 0.2500 0.4070 0.5930
Y2 Y 0.7500 0.5930 0.4070

---

# PBE-GGA Tb2PrNd2Y6, optimized geometry
# **Symmetry**: No. 12
# **Formation enthalpy at 0 K**: 151 meV/atom
data_Tb2PrNd2Y6
_space_group_name_H-M_alt 'P 1'
_space_group_IT_number 1
_cell_length_a 6.6986
_cell_length_b 6.6986
_cell_length_c 12.1172
_cell_angle_alpha 101.60
_cell_angle_beta 101.60
_cell_angle_gamma 129.26
loop_
_space_group_symop_operation_xyz
'x,y,z'
loop_
_atom_site_label
_atom_site_type_symbol
_atom_site_fract_x
_atom_site_fract_y
_atom_site_fract_z
Tb1 Tb 0.2958 0.7042 0.5000
Tb2 Tb 0.7042 0.2958 0.5000
Pr1 Pr 0.0000 0.0000 0.5000
Nd1 Nd 0.8657 0.1343 0.0000
Nd2 Nd 0.1343 0.8657 0.0000
Y1 Y 0.7119 0.7119 0.7093
Y2 Y 0.1405 0.4468 0.7913
Y3 Y 0.2881 0.2881 0.2907
Y4 Y 0.4468 0.1405 0.7913
Y5 Y 0.8595 0.5532 0.2087
Y6 Y 0.5532 0.8595 0.2087

---

# PBE-GGA Tb6PrNdY2, optimized geometry
# **Symmetry**: No. 15
# **Formation enthalpy at 0 K**: 121 meV/atom
data_Tb6PrNdY2
_space_group_name_H-M_alt 'P 1'
_space_group_IT_number 1
_cell_length_a 9.0952
_cell_length_b 9.0204
_cell_length_c 9.0204
_cell_angle_alpha 116.47
_cell_angle_beta 91.05
_cell_angle_gamma 91.05
loop_
_space_group_symop_operation_xyz
'x,y,z'
loop_
_atom_site_label
_atom_site_type_symbol
_atom_site_fract_x
_atom_site_fract_y
_atom_site_fract_z
Tb1 Tb 0.0681 0.0851 0.7738
Tb2 Tb 0.4319 0.2262 0.9149
Tb3 Tb 0.9319 0.9149 0.2262
Tb4 Tb 0.5681 0.7738 0.0851
Tb5 Tb 0.3193 0.0204 0.4696
Tb6 Tb 0.1807 0.5304 0.9796
Tb7 Tb 0.6807 0.9796 0.5304
Tb8 Tb 0.8193 0.4696 0.0204
Tb9 Tb 0.0941 0.7189 0.4415
Tb10 Tb 0.4059 0.5585 0.2811
Tb11 Tb 0.9059 0.2811 0.5585
Tb12 Tb 0.5941 0.4415 0.7189
Pr1 Pr 0.2500 0.9422 0.0578
Pr2 Pr 0.7500 0.0578 0.9422
Nd1 Nd 0.2500 0.4266 0.5734
Nd2 Nd 0.7500 0.5734 0.4266
Y1 Y 0.4368 0.7981 0.6971
Y2 Y 0.0632 0.3029 0.2019
Y3 Y 0.5632 0.2019 0.3029
Y4 Y 0.9368 0.6971 0.7981

---

# PBE-GGA TbPr2Nd2Y, optimized geometry
# **Symmetry**: No. 51
# **Formation enthalpy at 0 K**: 52 meV/atom
data_TbPr2Nd2Y
_space_group_name_H-M_alt 'P 1'
_space_group_IT_number 1
_cell_length_a 5.7685
_cell_length_b 7.1511
_cell_length_c 9.9915
_cell_angle_alpha 90.00
_cell_angle_beta 90.00
_cell_angle_gamma 90.00
loop_
_space_group_symop_operation_xyz
'x,y,z'
loop_
_atom_site_label
_atom_site_type_symbol
_atom_site_fract_x
_atom_site_fract_y
_atom_site_fract_z
Tb1 Tb 0.5000 0.2578 0.6589
Tb2 Tb 0.5000 0.7578 0.3411
Pr1 Pr 0.5000 0.0075 0.0000
Pr2 Pr 0.0000 0.2575 0.1754
Pr3 Pr 0.5000 0.5075 0.0000
Pr4 Pr 0.0000 0.7575 0.8246
Nd1 Nd 0.0000 0.2575 0.8363
Nd2 Nd 0.5000 0.2577 0.3309
Nd3 Nd 0.0000 0.7575 0.1637
Nd4 Nd 0.5000 0.7577 0.6691
Y1 Y 0.0000 0.0077 0.5000
Y2 Y 0.0000 0.5077 0.5000

---

# PBE-GGA Tb6PrNd2Y2, optimized geometry
# **Symmetry**: No. 12
# **Formation enthalpy at 0 K**: 159 meV/atom
data_Tb6PrNd2Y2
_space_group_name_H-M_alt 'P 1'
_space_group_IT_number 1
_cell_length_a 6.6834
_cell_length_b 6.6834
_cell_length_c 12.2327
_cell_angle_alpha 101.52
_cell_angle_beta 101.52
_cell_angle_gamma 129.48
loop_
_space_group_symop_operation_xyz
'x,y,z'
loop_
_atom_site_label
_atom_site_type_symbol
_atom_site_fract_x
_atom_site_fract_y
_atom_site_fract_z
Tb1 Tb 0.7137 0.7137 0.7151
Tb2 Tb 0.1323 0.4404 0.7876
Tb3 Tb 0.2863 0.2863 0.2849
Tb4 Tb 0.4404 0.1323 0.7876
Tb5 Tb 0.8677 0.5596 0.2124
Tb6 Tb 0.5596 0.8677 0.2124
Pr1 Pr 0.0000 0.0000 0.5000
Nd1 Nd 0.8634 0.1366 0.0000
Nd2 Nd 0.1366 0.8634 0.0000
Y1 Y 0.3025 0.6975 0.5000
Y2 Y 0.6975 0.3025 0.5000